VASP calculation (PBE) on a relaxed YSiCl2 crystal.

Output
The value obtained for the uncorrected formation energy is -1020 meV/atom. The calculation puts the density of states at the Fermi level at 0.16 states/eV/atom.

Lattice parameters (Å, degrees): 5.0254 3.6978 5.1138 68.87 90.00 90.00
Closest atoms and distances in Å follow each position.
Element x y z (fractional)
1 Cl 0.0000 0.7776 0.0691  1 Si 2.27
2 Cl 0.5000 0.2356 0.1539  3 Y 2.73-2.76
3 Si 0.0000 0.5407 0.5450  1 Cl 2.27
4 Y 0.5000 0.9462 0.7320  5 Cl 2.73-2.98

=====

VASP calculation (PBE) on a relaxed Sn4HgPb7 crystal.

Output
The calculation puts the density of states at the Fermi level at 0.77 states/eV/atom. As for the calculated formation energy: 67 kJ/mol of formula units.

Lattice parameters (Å, degrees): 5.5654 5.5654 13.3394 90.00 90.00 120.00
Closest atoms and distances in Å follow each position.
Element x y z (fractional)
1 Sn 0.3333 0.6667 0.9015  1 Sn 3.20, 7 Pb 3.28-3.47
2 Sn 0.6667 0.3333 0.0985  1 Sn 3.20, 7 Pb 3.28-3.47
3 Sn 0.3333 0.6667 0.6619  1 Sn 3.20, 7 Pb 3.34-3.42
4 Sn 0.6667 0.3333 0.3381  1 Sn 3.20, 7 Pb 3.34-3.42
5 Hg 0.0000 0.0000 0.5000  8 Pb 3.16-3.45
6 Pb 0.0000 0.0000 0.0000  6 Sn 3.47, 8 Pb 3.51-3.77
7 Pb 0.3333 0.6667 0.4051  4 Sn 3.34-3.42, 4 Pb 3.43-3.73, 3 Hg 3.45
8 Pb 0.6667 0.3333 0.5949  4 Sn 3.34-3.42, 4 Pb 3.43-3.73, 3 Hg 3.45
9 Pb 0.3333 0.6667 0.1477  4 Sn 3.28, 4 Pb 3.43-3.56
10 Pb 0.6667 0.3333 0.8523  4 Sn 3.28, 4 Pb 3.43-3.56
11 Pb 0.0000 0.0000 0.7372  1 Hg 3.16, 3 Sn 3.37, 1 Pb 3.51
12 Pb 0.0000 0.0000 0.2628  1 Hg 3.16, 3 Sn 3.37, 1 Pb 3.51

=====

VASP calculation (PBE) on a relaxed CaAc3Ga2O9 crystal.

Output
The value obtained for the uncorrected formation energy is -2591 meV/atom. The calculation puts the density of states at the Fermi level at 0.58 states/eV/atom.

Lattice parameters (Å, degrees): 5.6905 5.6905 7.4149 90.00 90.00 120.00
Closest atoms and distances in Å follow each position.
Element x y z (fractional)
1 Ca 0.0000 0.0000 0.5000  6 O 2.21
2 Ac 0.3333 0.6667 0.7061  9 O 2.73-2.85
3 Ac 0.0000 0.0000 0.0000  12 O 2.82-2.85
4 Ac 0.6667 0.3333 0.2939  9 O 2.73-2.85
5 Ga 0.3333 0.6667 0.1646  6 O 1.92-2.05
6 Ga 0.6667 0.3333 0.8354  6 O 1.92-2.05
7 O 0.8300 0.1700 0.6942  1 Ga 1.92
8 O 0.8300 0.6600 0.6942  1 Ga 1.92
9 O 0.3400 0.1700 0.6942  1 Ga 1.92
10 O 0.6600 0.8300 0.3058  1 Ga 1.92
11 O 0.1700 0.3400 0.3058  1 Ga 1.92
12 O 0.1700 0.8300 0.3058  1 Ga 1.92
13 O 0.5000 0.0000 0.0000  2 Ga 2.05
14 O 0.0000 0.5000 0.0000  2 Ga 2.05
15 O 0.5000 0.5000 0.0000  2 Ga 2.05

=====

VASP calculation (PBE) on a relaxed K2HoTlI6 crystal.

Output
The value obtained for the uncorrected formation energy is -1279 meV/atom. The calculation puts the density of states at the Fermi level at 0.00 states/eV/atom.

Lattice parameters (Å, degrees): 8.6505 8.6491 8.9944 61.24 61.23 59.98
Closest atoms and distances in Å follow each position.
Element x y z (fractional)
1 K 0.5287 0.5286 0.4139  6 I 3.57-3.65
2 K 0.0176 0.0177 0.9470  6 I 3.52-3.63
3 Ho 0.3252 0.3251 0.0246  6 I 3.03-3.05
4 Tl 0.8171 0.8171 0.5487  6 I 3.45-3.62
5 I 0.5606 0.2077 0.2493  1 Ho 3.03
6 I 0.2077 0.9823 0.2493  1 Ho 3.03
7 I 0.9823 0.5607 0.2494  1 Ho 3.03
8 I 0.4325 0.6752 0.7775  1 Ho 3.05
9 I 0.6753 0.1146 0.7776  1 Ho 3.05
10 I 0.1146 0.4327 0.7778  1 Ho 3.05

=====

VASP calculation (PBE) on a relaxed Er2PaAl crystal.

Output
The calculation puts the density of states at the Fermi level at 0.90 states/eV/atom. As for the calculated formation energy: -6 kJ/mol of formula units.

Lattice parameters (Å, degrees): 4.5168 4.7067 4.7067 90.00 90.00 90.00
Closest atoms and distances in Å follow each position.
Element x y z (fractional)
1 Pa 0.5000 0.5000 0.5000  8 Er 3.26, 4 Al 3.33
2 Al 0.5000 0.0000 0.0000  8 Er 3.26, 4 Pa 3.33
3 Er 0.0000 0.0000 0.5000  4 Pa 3.26, 4 Al 3.26, 4 Er 3.33
4 Er 0.0000 0.5000 0.0000  4 Pa 3.26, 4 Al 3.26, 4 Er 3.33

=====

VASP calculation (PBE) on a relaxed Ba3Na4Li2 crystal.

Output
The calculation puts the density of states at the Fermi level at 0.66 states/eV/atom. As for the calculated formation energy: 18 kJ/mol of formula units.

Lattice parameters (Å, degrees): 5.2826 9.2587 9.2587 120.00 90.00 90.00
Closest atoms and distances in Å follow each position.
Element x y z (fractional)
1 Ba 0.5000 0.0000 0.4262  4 Li 3.82, 3 Na 3.95-4.01
2 Ba 0.5000 0.4262 0.0000  4 Li 3.82, 3 Na 3.95-4.01
3 Ba 0.5000 0.5738 0.5738  4 Li 3.82, 3 Na 3.95-4.01
4 Na 0.5000 0.0000 0.0000  6 Na 3.50
5 Na 0.0000 0.2474 0.2474  2 Na 3.50, 2 Li 3.55
6 Na 0.0000 0.7526 0.0000  2 Na 3.50, 2 Li 3.55
7 Na 0.0000 0.0000 0.7526  2 Na 3.50, 2 Li 3.55
8 Li 0.0000 0.6667 0.3333  3 Na 3.55, 6 Ba 3.82
9 Li 0.0000 0.3333 0.6667  3 Na 3.55, 6 Ba 3.82

=====

VASP calculation (PBE) on a relaxed Pm12Al3Zn crystal.

Output
The calculation puts the density of states at the Fermi level at 1.38 states/eV/atom. As for the calculated formation energy: -218 kJ/mol of formula units.

Lattice parameters (Å, degrees): 4.8642 4.8642 19.4000 90.00 90.00 90.00
Closest atoms and distances in Å follow each position.
Element x y z (fractional)
1 Pm 0.5000 0.5000 0.0000  8 Pm 3.43, 4 Zn 3.44
2 Pm 0.5000 0.5000 0.2481  8 Pm 3.41-3.45, 4 Al 3.44
3 Pm 0.5000 0.5000 0.5000  4 Al 3.44, 8 Pm 3.45
4 Pm 0.5000 0.5000 0.7519  8 Pm 3.41-3.45, 4 Al 3.44
5 Pm 0.5000 0.0000 0.1248  8 Pm 3.41-3.44, 2 Al 3.42, 2 Zn 3.43
6 Pm 0.5000 0.0000 0.3742  8 Pm 3.44-3.45, 4 Al 3.44-3.45
7 Pm 0.5000 0.0000 0.6258  8 Pm 3.44-3.45, 4 Al 3.44-3.45
8 Pm 0.5000 0.0000 0.8752  8 Pm 3.41-3.44, 2 Al 3.42, 2 Zn 3.43
9 Pm 0.0000 0.5000 0.1248  8 Pm 3.41-3.44, 2 Al 3.42, 2 Zn 3.43
10 Pm 0.0000 0.5000 0.3742  8 Pm 3.44-3.45, 4 Al 3.44-3.45
11 Pm 0.0000 0.5000 0.6258  8 Pm 3.44-3.45, 4 Al 3.44-3.45
12 Pm 0.0000 0.5000 0.8752  8 Pm 3.41-3.44, 2 Al 3.42, 2 Zn 3.43
13 Al 0.0000 0.0000 0.2487  12 Pm 3.42-3.44
14 Al 0.0000 0.0000 0.5000  12 Pm 3.44-3.45
15 Al 0.0000 0.0000 0.7513  12 Pm 3.42-3.44
16 Zn 0.0000 0.0000 0.0000  12 Pm 3.43-3.44

=====

VASP calculation (PBE) on a relaxed Tb4PmHo2 crystal.

Output
The calculation puts the density of states at the Fermi level at 1.49 states/eV/atom. As for the calculated formation energy: 23 kJ/mol of formula units.

Lattice parameters (Å, degrees): 3.5311 9.4397 8.5416 121.42 78.09 111.96
Closest atoms and distances in Å follow each position.
Element x y z (fractional)
1 Tb 0.4101 0.7060 0.5901  3 Ho 3.32-3.49, 7 Tb 3.53-3.72, 2 Pm 3.58-3.59
2 Tb 0.8082 0.1669 0.7189  7 Tb 3.53-3.82, 4 Ho 3.59-3.60, 2 Pm 3.76
3 Tb 0.5899 0.2940 0.4099  3 Ho 3.32-3.49, 7 Tb 3.53-3.72, 2 Pm 3.58-3.59
4 Tb 0.1918 0.8331 0.2811  7 Tb 3.53-3.82, 4 Ho 3.59-3.60, 2 Pm 3.76
5 Pm 0.0000 0.0000 0.0000  2 Ho 3.35, 2 Pm 3.53, 4 Tb 3.58-3.59
6 Ho 0.3599 0.4301 0.1411  1 Ho 3.14, 3 Tb 3.32-3.49, 1 Pm 3.35
7 Ho 0.6401 0.5699 0.8589  1 Ho 3.14, 3 Tb 3.32-3.49, 1 Pm 3.35

=====

VASP calculation (PBE) on a relaxed MgGa5Ir3 crystal.

Output
The calculation puts the density of states at the Fermi level at 0.40 states/eV/atom. As for the calculated formation energy: -299 kJ/mol of formula units.

Lattice parameters (Å, degrees): 6.4256 6.4256 10.4025 64.91 64.91 90.38
Closest atoms and distances in Å follow each position.
Element x y z (fractional)
1 Mg 0.0037 0.0037 0.7522  4 Ir 2.56-2.77, 2 Ga 2.82-2.83
2 Mg 0.9963 0.9963 0.2478  4 Ir 2.56-2.77, 2 Ga 2.82-2.83
3 Ga 0.9337 0.3982 0.3328  3 Ir 2.44-2.59
4 Ga 0.2655 0.7345 0.0000  3 Ir 2.42-2.58
5 Ga 0.6805 0.6805 0.0752  4 Ir 2.50-2.71
6 Ga 0.3285 0.3285 0.4328  4 Ir 2.48-2.63
7 Ga 0.6715 0.6715 0.5672  4 Ir 2.48-2.63
8 Ga 0.3195 0.3195 0.9248  4 Ir 2.50-2.71
9 Ga 0.3982 0.9337 0.3328  3 Ir 2.44-2.59
10 Ga 0.7345 0.2655 0.0000  3 Ir 2.42-2.58
11 Ga 0.0663 0.6018 0.6672  3 Ir 2.44-2.59
12 Ga 0.6018 0.0663 0.6672  3 Ir 2.44-2.59
13 Ir 0.6531 0.6531 0.8295  7 Ga 2.55-2.71, 1 Mg 2.77
14 Ir 0.6567 0.6567 0.3299  5 Ga 2.44-2.55, 1 Mg 2.65
15 Ir 0.0000 0.0000 0.0000  4 Ga 2.42-2.50, 2 Mg 2.56
16 Ir 0.0000 0.0000 0.5000  6 Ga 2.57-2.62, 2 Mg 2.64
17 Ir 0.3469 0.3469 0.1705  7 Ga 2.55-2.71, 1 Mg 2.77
18 Ir 0.3433 0.3433 0.6701  5 Ga 2.44-2.55, 1 Mg 2.65

=====

VASP calculation (PBE) on a relaxed LuHf2Co crystal.

Output
The calculation puts the density of states at the Fermi level at 1.14 states/eV/atom. As for the calculated formation energy: 91 kJ/mol of formula units.

Lattice parameters (Å, degrees): 3.2884 3.2884 9.8924 80.43 80.43 60.00
Closest atoms and distances in Å follow each position.
Element x y z (fractional)
1 Co 0.5000 0.5000 0.5000  6 Hf 2.51
2 Lu 0.0000 0.0000 0.0000  2 Hf 3.20, 6 Lu 3.29
3 Hf 0.1100 0.1100 0.6699  3 Co 2.51
4 Hf 0.8900 0.8900 0.3301  3 Co 2.51